# 1
First-principles (GGA-PBE) data for crystalline Cd2GeTe3 at its relaxed geometry, as listed in OQMD.

Lattice parameters (Å, degrees): 7.542 7.542 11.172 90.00 90.00 147.54
Sites, in units of the cell vectors:
Cd 0.000 0.000 0.000
Cd 0.000 0.000 0.500
Cd 0.487 0.513 0.750
Cd 0.513 0.487 0.250
Ge 0.219 0.781 0.250
Ge 0.781 0.219 0.750
Te 0.117 0.883 0.750
Te 0.352 0.648 0.567
Te 0.352 0.648 0.933
Te 0.648 0.352 0.067
Te 0.648 0.352 0.433
Te 0.883 0.117 0.250

Space-group type: Cmcm (63)
VASP energy: -2.72 eV per atom



# 2
First-principles (GGA-PBE) data for crystalline ZnCdGeTe3 at its relaxed geometry, as listed in OQMD.

Lattice parameters (Å, degrees): 7.199 7.199 11.695 90.00 90.00 146.50
Sites, in units of the cell vectors:
Zn 0.020 0.980 0.750
Zn 0.980 0.020 0.250
Cd 0.500 0.500 0.000
Cd 0.500 0.500 0.500
Ge 0.277 0.723 0.250
Ge 0.723 0.277 0.750
Te 0.145 0.855 0.577
Te 0.145 0.855 0.923
Te 0.395 0.605 0.750
Te 0.605 0.395 0.250
Te 0.855 0.145 0.077
Te 0.855 0.145 0.423

Space-group type: Cmcm (63)
Energy above the lowest structure with this stoichiometry: 0.0000 eV per atom



# 3
First-principles (GGA-PBE) data for crystalline ZnCdGeTe3 at its relaxed geometry, as listed in OQMD.

Lattice parameters (Å, degrees): 7.314 7.314 12.178 90.00 90.00 147.85
Sites, in units of the cell vectors:
Zn 0.000 0.000 0.000
Zn 0.000 0.000 0.500
Cd 0.493 0.507 0.750
Cd 0.507 0.493 0.250
Ge 0.213 0.787 0.250
Ge 0.787 0.213 0.750
Te 0.139 0.861 0.750
Te 0.373 0.627 0.567
Te 0.373 0.627 0.933
Te 0.627 0.373 0.067
Te 0.627 0.373 0.433
Te 0.861 0.139 0.250

Space-group type: Cmcm (63)
Energy above the lowest structure with this stoichiometry: 0.0802 eV per atom



# 4
First-principles (GGA-PBE) data for crystalline Tm2CdGe2 at its relaxed geometry, as listed in OQMD.

Lattice parameters (Å, degrees): 7.238 7.238 4.153 90.00 90.00 90.00
Sites, in units of the cell vectors:
Tm 0.177 0.323 0.000
Tm 0.323 0.823 0.000
Tm 0.677 0.177 0.000
Tm 0.823 0.677 0.000
Cd 0.000 0.000 0.500
Cd 0.500 0.500 0.500
Ge 0.123 0.623 0.500
Ge 0.377 0.123 0.500
Ge 0.623 0.877 0.500
Ge 0.877 0.377 0.500

Space-group type: P4/mbm (127)
VASP energy: -4.50 eV per atom



# 5
First-principles (GGA-PBE) data for crystalline TmCdGe at its relaxed geometry, as listed in OQMD.

Lattice parameters (Å, degrees): 4.796 4.796 4.796 60.00 60.00 60.00
Sites, in units of the cell vectors:
Tm 0.000 0.000 0.000
Cd 0.750 0.750 0.750
Ge 0.250 0.250 0.250

Space-group type: F-43m (216)
VASP energy: -3.42 eV per atom



# 6
First-principles (GGA-PBE) data for crystalline TmCdGe at its relaxed geometry, as listed in OQMD.

Lattice parameters (Å, degrees): 4.716 4.716 4.716 60.00 60.00 60.00
Sites, in units of the cell vectors:
Tm 0.000 0.000 0.000
Cd 0.750 0.750 0.750
Ge 0.500 0.500 0.500

Space-group type: F-43m (216)
VASP energy: -3.41 eV per atom



# 7
First-principles (GGA-PBE) data for crystalline Cd2GeW at its relaxed geometry, as listed in OQMD.

Lattice parameters (Å, degrees): 4.713 4.713 4.713 60.00 60.00 60.00
Sites, in units of the cell vectors:
Cd 0.000 0.000 0.000
Cd 0.250 0.250 0.250
Ge 0.500 0.500 0.500
W 0.750 0.750 0.750

Space-group type: F-43m (216)
VASP energy: -4.06 eV per atom



# 8
First-principles (GGA-PBE) data for crystalline YCd2Ge at its relaxed geometry, as listed in OQMD.

Lattice parameters (Å, degrees): 5.050 5.050 5.050 60.00 60.00 60.00
Sites, in units of the cell vectors:
Y 0.000 0.000 0.000
Cd 0.250 0.250 0.250
Cd 0.500 0.500 0.500
Ge 0.750 0.750 0.750

Space-group type: F-43m (216)
VASP energy: -3.43 eV per atom



# 9
First-principles (GGA-PBE) data for crystalline ZnCdGe2 at its relaxed geometry, as listed in OQMD.

Lattice parameters (Å, degrees): 4.824 4.824 4.824 60.00 60.00 60.00
Sites, in units of the cell vectors:
Zn 0.000 0.000 0.000
Cd 0.750 0.750 0.750
Ge 0.250 0.250 0.250
Ge 0.500 0.500 0.500

Space-group type: F-43m (216)
VASP energy: -2.60 eV per atom



# 10
First-principles (GGA-PBE) data for crystalline Zn2CdGe at its relaxed geometry, as listed in OQMD.

Lattice parameters (Å, degrees): 4.734 4.734 4.734 60.00 60.00 60.00
Sites, in units of the cell vectors:
Zn 0.000 0.000 0.000
Zn 0.250 0.250 0.250
Cd 0.500 0.500 0.500
Ge 0.750 0.750 0.750

Space-group type: F-43m (216)
VASP energy: -1.80 eV per atom



# 11
First-principles (GGA-PBE) data for crystalline ZnCdGe2 at its relaxed geometry, as listed in OQMD.

Lattice parameters (Å, degrees): 4.824 4.824 4.824 60.00 60.00 60.00
Sites, in units of the cell vectors:
Zn 0.000 0.000 0.000
Cd 0.250 0.250 0.250
Ge 0.500 0.500 0.500
Ge 0.750 0.750 0.750

Space-group type: F-43m (216)
VASP energy: -2.60 eV per atom



# 12
First-principles (GGA-PBE) data for crystalline ZrCdGe2 at its relaxed geometry, as listed in OQMD.

Lattice parameters (Å, degrees): 4.898 4.898 4.898 60.00 60.00 60.00
Sites, in units of the cell vectors:
Zr 0.000 0.000 0.000
Cd 0.250 0.250 0.250
Ge 0.500 0.500 0.500
Ge 0.750 0.750 0.750

Space-group type: F-43m (216)
VASP energy: -4.49 eV per atom



What did the tenth record say?
First-principles (GGA-PBE) data for crystalline Zn2CdGe at its relaxed geometry, as listed in OQMD.

Lattice parameters (Å, degrees): 4.734 4.734 4.734 60.00 60.00 60.00
Sites, in units of the cell vectors:
Zn 0.000 0.000 0.000
Zn 0.250 0.250 0.250
Cd 0.500 0.500 0.500
Ge 0.750 0.750 0.750

Space-group type: F-43m (216)
VASP energy: -1.80 eV per atom